Compound: LiCe2AgS5
Source: the Alexandria database
Functional: PBE
Structure: optimized geometry

Energy relative to the elements, uncorrected, meV per atom: -1342
Crystal system: orthorhombic
Space group: Cmc2_1 (36)

Cell lengths 4.0092, 8.3855, 10.9507 Å; angles 90.00, 90.00, 103.83 degrees
Sites, in units of the cell vectors:
1 Li 0.5784 0.1568 0.9890
2 Li 0.4216 0.8432 0.4890
3 Ce 0.8844 0.7689 0.7934
4 Ce 0.1197 0.2395 0.6861
5 Ce 0.1156 0.2311 0.2934
6 Ce 0.8803 0.7605 0.1861
7 Ag 0.7939 0.5878 0.4939
8 Ag 0.2061 0.4122 0.9939
9 S 0.3632 0.7264 0.9997
10 S 0.7004 0.4007 0.8325
11 S 0.5100 0.0200 0.7918
12 S 0.3034 0.6067 0.6650
13 S 0.9693 0.9386 0.5726
14 S 0.6368 0.2736 0.4997
15 S 0.2996 0.5993 0.3325
16 S 0.4900 0.9800 0.2918
17 S 0.6966 0.3933 0.1650
18 S 0.0307 0.0614 0.0726